1.
A crystal of Ga2Pt relaxed with PBEsol. Source: Alexandria, functional SCAN.

Unit cell a=12.301 b=12.301 c=12.301 alpha=139.49 beta=139.49 gamma=58.64
Positions (direct):
Ga1 0.012 0.035 0.424
Ga2 0.035 0.111 0.024
Ga3 0.087 0.611 0.576
Ga4 0.111 0.587 0.076
Ga5 0.140 0.162 0.426
Ga6 0.162 0.236 0.022
Ga7 0.214 0.736 0.574
Ga8 0.236 0.714 0.074
Ga9 0.264 0.338 0.478
Ga10 0.286 0.860 0.522
Ga11 0.338 0.360 0.074
Ga12 0.360 0.786 0.022
Ga13 0.389 0.465 0.476
Ga14 0.413 0.988 0.524
Ga15 0.465 0.488 0.076
Ga16 0.488 0.913 0.024
Ga17 0.512 0.087 0.976
Ga18 0.535 0.512 0.924
Ga19 0.587 0.012 0.476
Ga20 0.611 0.535 0.524
Ga21 0.640 0.214 0.978
Ga22 0.662 0.640 0.926
Ga23 0.714 0.140 0.478
Ga24 0.736 0.662 0.522
Ga25 0.764 0.286 0.926
Ga26 0.786 0.264 0.426
Ga27 0.838 0.764 0.978
Ga28 0.860 0.838 0.574
Ga29 0.889 0.413 0.924
Ga30 0.913 0.389 0.424
Ga31 0.965 0.889 0.976
Ga32 0.988 0.965 0.576
Pt1 0.019 0.269 0.750
Pt2 0.065 0.435 0.250
Pt3 0.185 0.935 0.870
Pt4 0.231 0.481 0.750
Pt5 0.269 0.019 0.250
Pt6 0.315 0.185 0.750
Pt7 0.435 0.685 0.370
Pt8 0.481 0.231 0.250
Pt9 0.519 0.769 0.750
Pt10 0.565 0.315 0.630
Pt11 0.685 0.815 0.250
Pt12 0.731 0.981 0.750
Pt13 0.769 0.519 0.250
Pt14 0.815 0.065 0.130
Pt15 0.935 0.565 0.750
Pt16 0.981 0.731 0.250

Properties
Calculated density in Mg/m³: 11.4
Formation enthalpy at 0 K in eV per formula unit: -2.2
Symmetry: I4_1/acd (142)
DFT total energy in eV/cell: -1680.677

***

2.
A crystal of Ga3Pt5 relaxed with PBEsol. Source: Alexandria, functional SCAN.

Unit cell a=7.463 b=7.956 c=3.947 alpha=90.00 beta=90.00 gamma=90.00
Positions (direct):
Ga1 0.000 0.000 0.000
Ga2 0.000 0.285 0.500
Ga3 0.000 0.715 0.500
Ga4 0.500 0.215 0.500
Ga5 0.500 0.500 0.000
Ga6 0.500 0.785 0.500
Pt1 0.000 0.500 0.000
Pt2 0.209 0.000 0.500
Pt3 0.250 0.250 0.000
Pt4 0.250 0.750 0.000
Pt5 0.291 0.500 0.500
Pt6 0.500 0.000 0.000
Pt7 0.709 0.500 0.500
Pt8 0.750 0.250 0.000
Pt9 0.750 0.750 0.000
Pt10 0.791 0.000 0.500

Properties
Calculated density in Mg/m³: 16.8
Formation enthalpy at 0 K in eV per formula unit: -4.7
Symmetry: Cmmm (65)
DFT total energy in eV/cell: -809.395

***

3.
A crystal of GaPt3 relaxed with PBEsol. Source: Alexandria, functional SCAN.

Unit cell a=5.469 b=5.469 c=7.868 alpha=90.00 beta=90.00 gamma=90.00
Positions (direct):
Ga1 0.000 0.500 0.250
Ga2 0.000 0.500 0.750
Ga3 0.500 0.000 0.250
Ga4 0.500 0.000 0.750
Pt1 0.000 0.000 0.250
Pt2 0.000 0.000 0.750
Pt3 0.212 0.288 0.000
Pt4 0.212 0.712 0.500
Pt5 0.288 0.212 0.500
Pt6 0.288 0.788 0.000
Pt7 0.500 0.500 0.250
Pt8 0.500 0.500 0.750
Pt9 0.712 0.212 0.000
Pt10 0.712 0.788 0.500
Pt11 0.788 0.288 0.500
Pt12 0.788 0.712 0.000

Properties
Calculated density in Mg/m³: 18.5
Formation enthalpy at 0 K in eV per formula unit: -1.9
Symmetry: I4/mcm (140)
DFT total energy in eV/cell: -915.283

***

4.
A crystal of Ga3Pt2 relaxed with PBEsol. Source: Alexandria, functional SCAN.

Unit cell a=4.229 b=4.229 c=5.236 alpha=90.00 beta=90.00 gamma=120.00
Positions (direct):
Ga1 0.000 0.000 0.000
Ga2 0.333 0.667 0.643
Ga3 0.667 0.333 0.357
Pt1 0.333 0.667 0.164
Pt2 0.667 0.333 0.836

Properties
Calculated density in Mg/m³: 12.3
Formation enthalpy at 0 K in eV per formula unit: -3.5
Symmetry: P-3m1 (164)
DFT total energy in eV/cell: -192.958

***

5.
A crystal of GaPt3 relaxed with PBEsol. Source: Alexandria, functional SCAN.

Unit cell a=3.886 b=3.886 c=3.886 alpha=90.00 beta=90.00 gamma=90.00
Positions (direct):
Ga1 0.000 0.000 0.000
Pt1 0.000 0.500 0.500
Pt2 0.500 0.000 0.500
Pt3 0.500 0.500 0.000

Properties
Calculated density in Mg/m³: 18.5
Formation enthalpy at 0 K in eV per formula unit: -1.9
Symmetry: Pm-3m (221)
DFT total energy in eV/cell: -228.793

***

6.
A crystal of Ga2Pt relaxed with PBEsol. Source: Alexandria, functional SCAN.

Unit cell a=5.912 b=5.912 c=5.912 alpha=90.00 beta=90.00 gamma=90.00
Positions (direct):
Ga1 0.250 0.250 0.250
Ga2 0.250 0.250 0.750
Ga3 0.250 0.750 0.250
Ga4 0.250 0.750 0.750
Ga5 0.750 0.250 0.250
Ga6 0.750 0.250 0.750
Ga7 0.750 0.750 0.250
Ga8 0.750 0.750 0.750
Pt1 0.000 0.000 0.000
Pt2 0.000 0.500 0.500
Pt3 0.500 0.000 0.500
Pt4 0.500 0.500 0.000

Properties
Calculated density in Mg/m³: 10.8
Formation enthalpy at 0 K in eV per formula unit: -2.2
Symmetry: Fm-3m (225)
DFT total energy in eV/cell: -420.296

***

7.
A crystal of Ga2RuPt relaxed with PBEsol. Source: Alexandria, functional SCAN.

Unit cell a=6.048 b=6.048 c=6.048 alpha=90.00 beta=90.00 gamma=90.00
Positions (direct):
Ga1 0.250 0.250 0.250
Ga2 0.250 0.250 0.750
Ga3 0.250 0.750 0.250
Ga4 0.250 0.750 0.750
Ga5 0.750 0.250 0.250
Ga6 0.750 0.250 0.750
Ga7 0.750 0.750 0.250
Ga8 0.750 0.750 0.750
Ru1 0.000 0.000 0.000
Ru2 0.000 0.500 0.500
Ru3 0.500 0.000 0.500
Ru4 0.500 0.500 0.000
Pt1 0.000 0.000 0.500
Pt2 0.000 0.500 0.000
Pt3 0.500 0.000 0.000
Pt4 0.500 0.500 0.500

Properties
Calculated density in Mg/m³: 13.1
Formation enthalpy at 0 K in eV per formula unit: -1.9
Symmetry: Fm-3m (225)
DFT total energy in eV/cell: -558.602

***

8.
A crystal of GaSbPt2S relaxed with PBEsol. Source: Alexandria, functional SCAN.

Unit cell a=4.428 b=4.428 c=5.379 alpha=90.00 beta=90.00 gamma=90.00
Positions (direct):
Ga1 0.000 0.000 0.000
Sb1 0.500 0.500 0.000
Pt1 0.000 0.500 0.500
Pt2 0.500 0.000 0.500
S1 0.500 0.500 0.500

Properties
Calculated density in Mg/m³: 9.7
Symmetry: P4/mmm (123)
Formation energy without anion corrections in eV/atom: 0.49
DFT total energy in eV/cell: -201.154

***

9.
A crystal of ScGa2Pt2 relaxed with PBEsol. Source: Alexandria, functional SCAN.

Unit cell a=3.718 b=3.718 c=12.265 alpha=90.00 beta=90.00 gamma=90.00
Positions (direct):
Sc1 0.000 0.000 0.000
Sc2 0.500 0.500 0.500
Ga1 0.000 0.500 0.250
Ga2 0.000 0.500 0.750
Ga3 0.500 0.000 0.250
Ga4 0.500 0.000 0.750
Pt1 0.000 0.000 0.394
Pt2 0.000 0.000 0.606
Pt3 0.500 0.500 0.106
Pt4 0.500 0.500 0.894

Properties
Calculated density in Mg/m³: 11.3
Formation enthalpy at 0 K in eV per formula unit: -5.0
Symmetry: I4/mmm (139)
DFT total energy in eV/cell: -384.551

***

10.
A crystal of Sc2Ga2Pt relaxed with PBEsol. Source: Alexandria, functional SCAN.

Unit cell a=6.594 b=6.594 c=3.987 alpha=90.00 beta=90.00 gamma=90.00
Positions (direct):
Sc1 0.171 0.329 0.000
Sc2 0.329 0.829 0.000
Sc3 0.671 0.171 0.000
Sc4 0.829 0.671 0.000
Ga1 0.133 0.633 0.500
Ga2 0.367 0.133 0.500
Ga3 0.633 0.867 0.500
Ga4 0.867 0.367 0.500
Pt1 0.000 0.000 0.500
Pt2 0.500 0.500 0.500

Properties
Calculated density in Mg/m³: 8.1
Formation enthalpy at 0 K in eV per formula unit: -5.2
Symmetry: P4/mbm (127)
DFT total energy in eV/cell: -273.029

***

11.
A crystal of GaPtSe2 relaxed with PBEsol. Source: Alexandria, functional SCAN.

Unit cell a=5.707 b=5.707 c=11.295 alpha=90.00 beta=90.00 gamma=90.00
Positions (direct):
Ga1 0.000 0.000 0.000
Ga2 0.000 0.500 0.250
Ga3 0.500 0.000 0.750
Ga4 0.500 0.500 0.500
Pt1 0.000 0.000 0.500
Pt2 0.000 0.500 0.750
Pt3 0.500 0.000 0.250
Pt4 0.500 0.500 0.000
Se1 0.244 0.250 0.625
Se2 0.250 0.744 0.875
Se3 0.250 0.756 0.375
Se4 0.256 0.250 0.125
Se5 0.744 0.750 0.125
Se6 0.750 0.244 0.375
Se7 0.750 0.256 0.875
Se8 0.756 0.750 0.625

Properties
Calculated density in Mg/m³: 7.6
Symmetry: I-42d (122)
Formation energy without anion corrections in eV/atom: -0.23
DFT total energy in eV/cell: -510.469

***

12.
A crystal of GaPtSe3 relaxed with PBEsol. Source: Alexandria, functional SCAN.

Unit cell a=4.766 b=4.766 c=4.766 alpha=90.00 beta=90.00 gamma=90.00
Positions (direct):
Ga1 0.000 0.000 0.000
Pt1 0.500 0.500 0.500
Se1 0.000 0.000 0.500
Se2 0.000 0.500 0.000
Se3 0.500 0.000 0.000

Properties
Calculated density in Mg/m³: 7.7
Symmetry: Pm-3m (221)
Formation energy without anion corrections in eV/atom: 0.96
Polymorph energy (0 for the lowest one) in eV per formula unit: 2.99
DFT total energy in eV/cell: -141.991

***

13.
A crystal of GaPtSe3 relaxed with PBEsol. Source: Alexandria, functional SCAN.

Unit cell a=4.937 b=4.937 c=4.937 alpha=90.00 beta=90.00 gamma=90.00
Positions (direct):
Ga1 0.000 0.000 0.000
Pt1 0.500 0.500 0.500
Se1 0.000 0.500 0.500
Se2 0.500 0.000 0.500
Se3 0.500 0.500 0.000

Properties
Calculated density in Mg/m³: 6.9
Symmetry: Pm-3m (221)
Formation energy without anion corrections in eV/atom: 0.36
Polymorph energy (0 for the lowest one) in eV per formula unit: 0.00
DFT total energy in eV/cell: -144.977

***

14.
A crystal of SmGa3Pt relaxed with PBEsol. Source: Alexandria, functional SCAN.

Unit cell a=4.105 b=4.105 c=10.749 alpha=90.00 beta=90.00 gamma=90.00
Positions (direct):
Sm1 0.000 0.000 0.000
Sm2 0.500 0.500 0.500
Ga1 0.000 0.000 0.388
Ga2 0.000 0.000 0.612
Ga3 0.000 0.500 0.750
Ga4 0.500 0.000 0.250
Ga5 0.500 0.500 0.112
Ga6 0.500 0.500 0.888
Pt1 0.000 0.500 0.250
Pt2 0.500 0.000 0.750

Properties
Calculated density in Mg/m³: 10.2
Formation enthalpy at 0 K in eV per formula unit: -4.3
Symmetry: I-4m2 (119)
DFT total energy in eV/cell: -336.021

***

15.
A crystal of SmGaPt relaxed with PBEsol. Source: Alexandria, functional SCAN.

Unit cell a=6.965 b=4.424 c=7.637 alpha=90.00 beta=90.00 gamma=90.00
Positions (direct):
Sm1 0.017 0.250 0.197
Sm2 0.483 0.750 0.697
Sm3 0.517 0.250 0.303
Sm4 0.983 0.750 0.803
Ga1 0.169 0.250 0.576
Ga2 0.331 0.750 0.076
Ga3 0.669 0.250 0.924
Ga4 0.831 0.750 0.424
Pt1 0.218 0.750 0.402
Pt2 0.282 0.250 0.902
Pt3 0.718 0.750 0.098
Pt4 0.782 0.250 0.598

Properties
Calculated density in Mg/m³: 11.7
Formation enthalpy at 0 K in eV per formula unit: -3.8
Symmetry: Pnma (62)
DFT total energy in eV/cell: -539.291

***

16.
A crystal of Sr3GaPt relaxed with PBEsol. Source: Alexandria, functional SCAN.

Unit cell a=5.740 b=5.740 c=5.740 alpha=90.00 beta=90.00 gamma=90.00
Positions (direct):
Sr1 0.000 0.000 0.500
Sr2 0.000 0.500 0.000
Sr3 0.500 0.000 0.000
Ga1 0.500 0.500 0.500
Pt1 0.000 0.000 0.000

Properties
Calculated density in Mg/m³: 4.6
Formation enthalpy at 0 K in eV per formula unit: -2.0
Symmetry: Pm-3m (221)
Polymorph energy (0 for the lowest one) in eV per formula unit: 0.00
DFT total energy in eV/cell: -155.381

***

17.
A crystal of TaGa2Pt relaxed with PBEsol. Source: Alexandria, functional SCAN.

Unit cell a=6.263 b=6.263 c=6.263 alpha=90.00 beta=90.00 gamma=90.00
Positions (direct):
Ta1 0.000 0.000 0.000
Ta2 0.000 0.500 0.500
Ta3 0.500 0.000 0.500
Ta4 0.500 0.500 0.000
Ga1 0.250 0.250 0.250
Ga2 0.250 0.250 0.750
Ga3 0.250 0.750 0.250
Ga4 0.250 0.750 0.750
Ga5 0.750 0.250 0.250
Ga6 0.750 0.250 0.750
Ga7 0.750 0.750 0.250
Ga8 0.750 0.750 0.750
Pt1 0.000 0.000 0.500
Pt2 0.000 0.500 0.000
Pt3 0.500 0.000 0.000
Pt4 0.500 0.500 0.500

Properties
Calculated density in Mg/m³: 13.9
Formation enthalpy at 0 K in eV per formula unit: -0.5
Symmetry: Fm-3m (225)
DFT total energy in eV/cell: -680.052

***

18.
A crystal of TaGaPt3 relaxed with PBEsol. Source: Alexandria, functional SCAN.

Unit cell a=4.848 b=4.848 c=4.848 alpha=90.00 beta=90.00 gamma=90.00
Positions (direct):
Ta1 0.000 0.000 0.000
Ga1 0.500 0.500 0.500
Pt1 0.000 0.000 0.500
Pt2 0.000 0.500 0.000
Pt3 0.500 0.000 0.000

Properties
Calculated density in Mg/m³: 12.2
Formation enthalpy at 0 K in eV per formula unit: 4.4
Symmetry: Pm-3m (221)
DFT total energy in eV/cell: -289.131

***

19.
A crystal of Tb4Ga12Pt relaxed with PBEsol. Source: Alexandria, functional SCAN.

Unit cell a=7.362 b=7.362 c=7.362 alpha=109.47 beta=109.47 gamma=109.47
Positions (direct):
Tb1 0.000 0.000 0.500
Tb2 0.000 0.500 0.000
Tb3 0.500 0.000 0.000
Tb4 0.500 0.500 0.500
Ga1 0.000 0.298 0.298
Ga2 0.000 0.702 0.702
Ga3 0.250 0.500 0.750
Ga4 0.250 0.750 0.500
Ga5 0.298 0.000 0.298
Ga6 0.298 0.298 0.000
Ga7 0.500 0.250 0.750
Ga8 0.500 0.750 0.250
Ga9 0.702 0.000 0.702
Ga10 0.702 0.702 0.000
Ga11 0.750 0.250 0.500
Ga12 0.750 0.500 0.250
Pt1 0.000 0.000 0.000

Properties
Calculated density in Mg/m³: 9.0
Formation enthalpy at 0 K in eV per formula unit: -12.4
Symmetry: Im-3m (229)
DFT total energy in eV/cell: -465.834

***

20.
A crystal of GaTePt3 relaxed with PBEsol. Source: Alexandria, functional SCAN.

Unit cell a=4.610 b=4.610 c=4.610 alpha=90.00 beta=90.00 gamma=90.00
Positions (direct):
Ga1 0.000 0.000 0.000
Te1 0.500 0.500 0.500
Pt1 0.000 0.000 0.500
Pt2 0.000 0.500 0.000
Pt3 0.500 0.000 0.000

Properties
Calculated density in Mg/m³: 13.3
Symmetry: Pm-3m (221)
Formation energy without anion corrections in eV/atom: 0.48
DFT total energy in eV/cell: -261.767

***

21.
A crystal of GaTe2Pt relaxed with PBEsol. Source: Alexandria, functional SCAN.

Unit cell a=3.898 b=3.898 c=26.732 alpha=90.00 beta=90.00 gamma=120.00
Positions (direct):
Ga1 0.000 0.000 0.000
Ga2 0.333 0.667 0.667
Ga3 0.667 0.333 0.333
Te1 0.000 0.000 0.113
Te2 0.000 0.000 0.887
Te3 0.333 0.667 0.553
Te4 0.333 0.667 0.780
Te5 0.667 0.333 0.220
Te6 0.667 0.333 0.447
Pt1 0.000 0.000 0.500
Pt2 0.333 0.667 0.167
Pt3 0.667 0.333 0.833

Properties
Calculated density in Mg/m³: 7.4
Symmetry: R-3m (166)
Formation energy without anion corrections in eV/atom: -0.10
DFT total energy in eV/cell: -484.376

***

22.
A crystal of TiGaPt relaxed with PBEsol. Source: Alexandria, functional SCAN.

Unit cell a=4.373 b=4.373 c=5.380 alpha=90.00 beta=90.00 gamma=120.00
Positions (direct):
Ti1 0.000 0.000 0.000
Ti2 0.000 0.000 0.500
Ga1 0.333 0.667 0.250
Ga2 0.667 0.333 0.750
Pt1 0.333 0.667 0.750
Pt2 0.667 0.333 0.250

Properties
Calculated density in Mg/m³: 11.7
Formation enthalpy at 0 K in eV per formula unit: -3.0
Symmetry: P6_3/mmc (194)
DFT total energy in eV/cell: -211.191

***

23.
A crystal of Ti2GaPt2 relaxed with PBEsol. Source: Alexandria, functional SCAN.

Unit cell a=7.222 b=7.222 c=3.059 alpha=90.00 beta=90.00 gamma=90.00
Positions (direct):
Ti1 0.169 0.331 0.000
Ti2 0.331 0.831 0.000
Ti3 0.669 0.169 0.000
Ti4 0.831 0.669 0.000
Ga1 0.000 0.000 0.500
Ga2 0.500 0.500 0.500
Pt1 0.132 0.632 0.500
Pt2 0.368 0.132 0.500
Pt3 0.632 0.868 0.500
Pt4 0.868 0.368 0.500

Properties
Calculated density in Mg/m³: 11.6
Formation enthalpy at 0 K in eV per formula unit: -4.8
Symmetry: P4/mbm (127)
DFT total energy in eV/cell: -387.242